GGA-PBE CeY6Ho2Tm, optimized geometry; SG = C2/c; total magnetic moment = 1.355 μB per formula unit; calculated volume = 323 Å³/f.u.; density of states at the Fermi level = 2.014 states/eV per atom; electronic total energy = -5.678 eV per atom
1.0
-1.298 9.219 2.707
-6.714 -3.099 4.580
7.868 -0.766 3.628
Y Ce Ho Tm
12 2 4 2
direct
0.382 0.507 0.301
0.618 0.493 0.699
0.183 0.573 0.019
0.118 0.699 0.493
0.317 0.981 0.427
0.443 0.250 0.883
0.882 0.301 0.507
0.057 0.117 0.750
0.943 0.883 0.250
0.557 0.750 0.117
0.817 0.427 0.981
0.683 0.019 0.573
0.750 0.593 0.407
0.250 0.407 0.593
0.452 0.810 0.715
0.048 0.285 0.190
0.952 0.715 0.810
0.548 0.190 0.285
0.250 0.976 0.024
0.750 0.024 0.976

---

GGA-PBE CeYHo5Tm2, optimized geometry; SG = Cmc2_1; total magnetic moment = 0.659 μB per formula unit; calculated volume = 287 Å³/f.u.; density of states at the Fermi level = 1.688 states/eV per atom; electronic total energy = -4.736 eV per atom
1.0
5.649 0.000 0.000
-2.825 10.704 0.000
0.000 0.000 9.478
Ho Tm Ce Y
10 4 2 2
direct
0.306 0.613 0.715
0.471 0.941 0.747
0.394 0.789 0.044
0.733 0.467 0.832
0.529 0.059 0.247
0.606 0.211 0.544
0.013 0.026 0.013
0.694 0.387 0.215
0.267 0.533 0.332
0.987 0.974 0.513
0.135 0.270 0.705
0.113 0.227 0.321
0.887 0.773 0.821
0.865 0.730 0.205
0.808 0.616 0.521
0.192 0.384 0.021
0.597 0.194 0.926
0.403 0.806 0.426

---

GGA-PBE CeY2Ho3Tm6, optimized geometry; SG = C2/m; total magnetic moment = 1.072 μB per formula unit; calculated volume = 368 Å³/f.u.; density of states at the Fermi level = 1.619 states/eV per atom; electronic total energy = -4.910 eV per atom
1.0
-0.565 1.532 5.868
-4.802 -2.175 -3.052
4.670 -10.448 2.124
Ce Y Tm Ho
1 2 6 3
direct
0.000 0.000 0.000
0.667 0.333 0.000
0.333 0.667 0.000
0.247 0.247 0.749
0.916 0.585 0.749
0.585 0.916 0.749
0.753 0.753 0.251
0.415 0.084 0.251
0.084 0.415 0.251
0.500 0.500 0.500
0.168 0.832 0.500
0.832 0.168 0.500

---

GGA-PBE CeYHoTm2, optimized geometry; SG = Pmma; total magnetic moment = 1.454 μB per formula unit; calculated volume = 158 Å³/f.u.; density of states at the Fermi level = 1.919 states/eV per atom; electronic total energy = -4.883 eV per atom
1.0
7.348 0.000 0.000
0.000 7.337 1.343
0.000 -1.038 5.682
Ce Ho Tm Y
2 2 4 2
direct
0.000 0.000 0.500
0.000 0.000 0.000
0.379 0.000 0.750
0.621 0.000 0.250
0.674 0.711 0.750
0.674 0.289 0.750
0.326 0.711 0.250
0.326 0.289 0.250
0.157 0.500 0.750
0.843 0.500 0.250

---

GGA-PBE Ce2Y6Ho3Tm, optimized geometry; SG = C2/m; total magnetic moment = 1.823 μB per formula unit; calculated volume = 378 Å³/f.u.; density of states at the Fermi level = 1.868 states/eV per atom; electronic total energy = -5.686 eV per atom
1.0
-1.022 3.723 4.775
-4.306 -4.020 -1.733
6.287 -7.812 6.122
Ce Y Ho Tm
2 6 3 1
direct
0.333 0.667 0.000
0.667 0.333 0.000
0.083 0.418 0.249
0.418 0.083 0.249
0.917 0.582 0.751
0.582 0.917 0.751
0.749 0.749 0.249
0.251 0.251 0.751
0.500 0.500 0.500
0.834 0.166 0.500
0.166 0.834 0.500
0.000 0.000 0.000

---

GGA-PBE CeYHo2Tm, optimized geometry; SG = Pmma; total magnetic moment = 0.002 μB per formula unit; calculated volume = 158 Å³/f.u.; density of states at the Fermi level = 2.280 states/eV per atom; electronic total energy = -4.904 eV per atom
1.0
7.432 0.000 0.000
0.000 7.245 1.304
0.000 -1.021 5.674
Ho Y Tm Ce
4 2 2 2
direct
0.327 0.285 0.250
0.673 0.285 0.750
0.673 0.715 0.750
0.327 0.715 0.250
0.153 0.500 0.750
0.847 0.500 0.250
0.624 0.000 0.250
0.376 0.000 0.750
0.000 0.000 0.500
0.000 0.000 0.000

---

GGA-PBE CeHoTmZr, optimized geometry; SG = F-43m; total magnetic moment = 1.726 μB per formula unit; calculated volume = 113 Å³/f.u.; density of states at the Fermi level = 2.386 states/eV per atom; electronic total energy = -5.674 eV per atom
1.0
5.433 0.000 0.000
2.717 4.705 0.000
2.717 1.568 4.436
Ce Ho Zr Tm
1 1 1 1
direct
0.000 0.000 0.000
0.500 0.500 0.500
0.750 0.750 0.750
0.250 0.250 0.250

---

GGA-PBE CeHoU, optimized geometry; SG = I4mm; total magnetic moment = 1.484 μB per formula unit; calculated volume = 78 Å³/f.u.; density of states at the Fermi level = 2.817 states/eV per atom; ΔE to the lowest computed polymorph = 0 meV per atom; electronic total energy = -6.974 eV per atom
1.0
-0.197 -2.705 1.585
2.809 0.554 1.294
-4.794 4.827 4.528
Ce U Ho
1 1 1
direct
0.321 0.321 0.642
0.669 0.669 0.339
0.009 0.009 0.019

---

GGA-PBE CeHoU, optimized geometry; SG = C2/m; total magnetic moment = 1.237 μB per formula unit; calculated volume = 81 Å³/f.u.; density of states at the Fermi level = 2.674 states/eV per atom; ΔE to the lowest computed polymorph = 21 meV per atom; electronic total energy = -6.953 eV per atom
1.0
4.820 0.000 0.000
0.000 5.305 0.394
-2.410 -0.635 6.303
Ho Ce U
2 2 2
direct
0.422 0.247 0.844
0.578 0.753 0.156
0.148 0.309 0.297
0.852 0.691 0.703
0.257 0.776 0.514
0.743 0.224 0.486

---

GGA-PBE CeHo2V, optimized geometry; SG = R-3m; total magnetic moment = 2.649 μB per formula unit; calculated volume = 106 Å³/f.u.; density of states at the Fermi level = 1.671 states/eV per atom; electronic total energy = -5.454 eV per atom
1.0
3.294 0.000 0.000
1.647 2.853 0.000
1.647 0.951 11.308
Ho Ce V
2 1 1
direct
0.082 0.082 0.753
0.918 0.918 0.247
0.500 0.500 0.500
0.000 0.000 0.000

---

GGA-PBE CeY8Ho5, optimized geometry; SG = I-4; total magnetic moment = 0.547 μB per formula unit; calculated volume = 456 Å³/f.u.; density of states at the Fermi level = 1.677 states/eV per atom; electronic total energy = -5.502 eV per atom
1.0
7.954 0.588 -2.636
-3.996 6.902 -2.636
-0.311 -0.588 8.374
Y Ho Ce
8 5 1
direct
0.669 0.921 0.896
0.226 0.331 0.251
0.410 0.163 0.592
0.025 0.774 0.104
0.571 0.818 0.408
0.182 0.590 0.753
0.837 0.429 0.247
0.079 0.975 0.749
0.712 0.535 0.606
0.929 0.106 0.394
0.894 0.288 0.823
0.500 0.500 0.000
0.465 0.071 0.177
0.250 0.750 0.500

---

GGA-PBE CeYHo2, optimized geometry; SG = P4/mmm; total magnetic moment = 0.510 μB per formula unit; calculated volume = 125 Å³/f.u.; density of states at the Fermi level = 1.729 states/eV per atom; ΔE to the lowest computed polymorph = 43 meV per atom; electronic total energy = -5.318 eV per atom
1.0
4.981 0.000 0.000
0.000 5.000 0.000
0.000 0.000 5.000
Y Ce Ho
1 1 2
direct
0.500 0.000 0.000
0.500 0.500 0.500
0.000 0.500 0.000
0.000 0.000 0.500

---

Question: Look up the calculated volume of the twelfth one.
Answer: 125 Å³/f.u.